(1)
DFT (PBE) results for an optimized crystal structure of LiErHgSe3.

total magnetic moment: 0.00 μB/atom
SG: No. 63
ρ: 6.77 Mg/m³
distance to the lowest polymorph of the same formula: 40 meV per atom

Cell: 6.969 6.969 11.082 Å, 90.00 90.00 33.90°
Fractional positions:
Er1 0.000 0.000 0.000
Er2 0.000 0.000 0.500
Hg1 0.472 0.472 0.250
Hg2 0.528 0.528 0.750
Li1 0.771 0.771 0.250
Li2 0.229 0.229 0.750
Se1 0.357 0.357 0.059
Se2 0.105 0.105 0.250
Se3 0.357 0.357 0.441
Se4 0.643 0.643 0.559
Se5 0.895 0.895 0.750
Se6 0.643 0.643 0.941

(2)
DFT (PBE) results for an optimized crystal structure of Nd3Si4Ge4.

total magnetic moment: 0.00 μB/atom
SG: No. 71
ρ: 5.90 Mg/m³
final energy: -5.31 eV per atom

Cell: 8.779 8.779 8.779 Å, 151.42 133.05 55.89°
Fractional positions:
Ge1 0.209 0.209 0.000
Ge2 0.791 0.791 0.000
Ge3 0.681 0.500 0.181
Ge4 0.319 0.500 0.819
Nd1 0.000 0.000 0.000
Nd2 0.637 0.137 0.500
Nd3 0.363 0.863 0.500
Si1 0.679 0.351 0.328
Si2 0.977 0.649 0.328
Si3 0.023 0.351 0.672
Si4 0.321 0.649 0.672

(3)
DFT (PBE) results for an optimized crystal structure of GdZrAsO.

total magnetic moment: 0.00 μB/atom
SG: No. 51
ρ: 6.92 Mg/m³
distance to the lowest polymorph of the same formula: 214 meV per atom

Cell: 4.111 7.696 5.149 Å, 90.00 90.00 90.00°
Fractional positions:
As1 0.000 0.390 0.439
As2 0.000 0.610 0.939
Gd1 0.500 0.140 0.438
Gd2 0.500 0.860 0.938
O1 0.500 0.835 0.439
O2 0.500 0.165 0.939
Zr1 0.000 0.750 0.439
Zr2 0.000 0.250 0.939

(4)
DFT (PBE) results for an optimized crystal structure of K2AgHgF6.

SG: No. 14
ρ: 5.22 Mg/m³
distance to the lowest polymorph of the same formula: 0 meV per atom

Cell: 5.990 6.205 10.443 Å, 90.00 124.91 90.00°
Fractional positions:
Ag1 0.500 0.000 0.000
Ag2 0.500 0.500 0.500
F1 0.243 0.801 0.046
F2 0.354 0.298 0.048
F3 0.838 0.971 0.247
F4 0.162 0.471 0.253
F5 0.646 0.798 0.452
F6 0.757 0.301 0.454
F7 0.243 0.699 0.546
F8 0.354 0.202 0.548
F9 0.838 0.529 0.747
F10 0.162 0.029 0.753
F11 0.646 0.702 0.952
F12 0.757 0.199 0.954
Hg1 0.000 0.500 0.000
Hg2 0.000 0.000 0.500
K1 0.263 0.054 0.250
K2 0.737 0.554 0.250
K3 0.263 0.446 0.750
K4 0.737 0.946 0.750

(5)
DFT (PBE) results for an optimized crystal structure of GdYW2C3.

total magnetic moment: 0.00 μB/atom
SG: No. 8
ρ: 10.26 Mg/m³
final energy: -9.57 eV per atom

Cell: 6.183 6.183 5.751 Å, 112.10 112.10 31.30°
Fractional positions:
C1 0.000 0.000 0.002
C2 0.751 0.751 0.267
C3 0.250 0.250 0.733
Gd1 0.609 0.609 0.818
W1 0.156 0.156 0.326
W2 0.844 0.844 0.675
Y1 0.390 0.390 0.180

(6)
DFT (PBE) results for an optimized crystal structure of Y2ErFeCo2Ni6.

total magnetic moment: 0.29 μB/atom
DFT formation energy: -0.244 eV per atom
SG: No. 166
ρ: 8.44 Mg/m³

Cell: 8.588 8.588 8.588 Å, 33.45 33.45 33.45°
Fractional positions:
Co1 0.333 0.333 0.333
Co2 0.667 0.667 0.667
Er1 0.000 0.000 0.000
Fe1 0.500 0.500 0.500
Ni1 0.580 0.580 0.084
Ni2 0.916 0.420 0.420
Ni3 0.420 0.916 0.420
Ni4 0.580 0.084 0.580
Ni5 0.084 0.580 0.580
Ni6 0.420 0.420 0.916
Y1 0.140 0.140 0.140
Y2 0.860 0.860 0.860

(7)
DFT (PBE) results for an optimized crystal structure of NdMgNb.

total magnetic moment: 0.87 μB/atom
SG: No. 216
ρ: 4.95 Mg/m³
distance to the lowest polymorph of the same formula: 0 meV per atom

Cell: 4.987 4.987 4.987 Å, 60.00 60.00 60.00°
Fractional positions:
Mg1 0.750 0.750 0.750
Nb1 0.000 0.000 0.000
Nd1 0.250 0.250 0.250

(8)
DFT (PBE) results for an optimized crystal structure of LiSmP2H2.

total magnetic moment: 0.00 μB/atom
SG: No. 164
ρ: 4.39 Mg/m³
final energy: -4.25 eV per atom

Cell: 3.712 3.712 7.019 Å, 90.00 90.00 120.00°
Fractional positions:
H1 0.667 0.333 0.209
H2 0.333 0.667 0.791
Li1 0.000 0.000 0.500
P1 0.333 0.667 0.268
P2 0.667 0.333 0.732
Sm1 0.000 0.000 0.000

(9)
DFT (PBE) results for an optimized crystal structure of BiTePd.

SG: No. 62
ρ: 8.45 Mg/m³
distance to the lowest polymorph of the same formula: 81 meV per atom

Cell: 6.553 4.357 12.198 Å, 90.00 90.00 90.00°
Fractional positions:
Bi1 0.625 0.750 0.118
Bi2 0.125 0.750 0.382
Bi3 0.875 0.250 0.618
Bi4 0.375 0.250 0.882
Pd1 0.363 0.250 0.121
Pd2 0.863 0.250 0.379
Pd3 0.137 0.750 0.621
Pd4 0.637 0.750 0.879
Te1 0.131 0.750 0.128
Te2 0.631 0.750 0.372
Te3 0.369 0.250 0.628
Te4 0.869 0.250 0.872

(10)
DFT (PBE) results for an optimized crystal structure of DyInGaTe3.

total magnetic moment: 0.00 μB/atom
SG: No. 63
ρ: 6.21 Mg/m³
final energy: -3.94 eV per atom

Cell: 7.808 7.808 11.509 Å, 90.00 90.00 146.18°
Fractional positions:
Dy1 0.000 0.000 0.000
Dy2 0.000 0.000 0.500
Ga1 0.466 0.534 0.250
Ga2 0.534 0.466 0.750
In1 0.754 0.246 0.250
In2 0.246 0.754 0.750
Te1 0.361 0.639 0.052
Te2 0.081 0.919 0.250
Te3 0.361 0.639 0.448
Te4 0.639 0.361 0.552
Te5 0.919 0.081 0.750
Te6 0.639 0.361 0.948

(11)
DFT (PBE) results for an optimized crystal structure of AlAg2Os.

total magnetic moment: 0.00 μB/atom
SG: No. 216
ρ: 11.43 Mg/m³
final energy: -4.85 eV per atom

Cell: 4.464 4.464 4.464 Å, 60.00 60.00 60.00°
Fractional positions:
Ag1 0.000 0.000 0.000
Ag2 0.750 0.750 0.750
Al1 0.500 0.500 0.500
Os1 0.250 0.250 0.250

(12)
DFT (PBE) results for an optimized crystal structure of ZrCdBi2.

total magnetic moment: 0.02 μB/atom
SG: No. 216
ρ: 9.64 Mg/m³
final energy: -4.16 eV per atom

Cell: 5.330 5.330 5.330 Å, 60.00 60.00 60.00°
Fractional positions:
Bi1 0.000 0.000 0.000
Bi2 0.250 0.250 0.250
Cd1 0.500 0.500 0.500
Zr1 0.750 0.750 0.750